First-principles (PBE-GGA) data for a geometry-optimized Sm4In2O structure, as listed in Alexandria via LeMat-Bulk.

Lattice parameters (Å, degrees): 5.125 23.337 3.509 90.00 90.00 90.00
Space group Cmmm (No. 65)
Inequivalent atoms, fractional coordinates:
Sm1 0.000 0.070 0.000 x4
Sm2 0.000 0.202 0.500 x4
In1 0.000 0.340 0.000 x4
O1 0.000 0.000 0.500 x2

E_form (uncorrected), kJ/mol of formula units: -547.6
E_tot, eV/atom: -5.00